(1)
Ce2AlCo2Ni5 | PBE-GGA | optimized geometry

Computed properties:
The value obtained for the calculated formation energy is -0.3378 eV/atom. The space group is No. 127. The density of states at the Fermi level is 0.68 states/eV/atom.

Unit cell a=3.855 b=8.607 c=8.607 alpha=90.00 beta=90.00 gamma=90.00
Fractional coordinates of all 20 atoms:
1 Ce 0.000 0.324 0.824
2 Ce 0.000 0.176 0.324
3 Ce 0.000 0.676 0.176
4 Ce 0.000 0.824 0.676
5 Ni 0.500 0.063 0.799
6 Ni 0.500 0.437 0.299
7 Ni 0.500 0.701 0.437
8 Ni 0.500 0.500 0.000
9 Ni 0.500 0.000 0.500
10 Ni 0.500 0.201 0.063
11 Ni 0.500 0.563 0.701
12 Ni 0.500 0.799 0.937
13 Ni 0.500 0.937 0.201
14 Ni 0.500 0.299 0.563
15 Al 0.000 0.500 0.500
16 Al 0.000 0.000 0.000
17 Co 0.000 0.133 0.633
18 Co 0.000 0.867 0.367
19 Co 0.000 0.367 0.133
20 Co 0.000 0.633 0.867

***

(2)
Cs3Tl2I2Cl5 | PBE-GGA | optimized geometry

Computed properties:
The space group is No. 139. The calculation puts the calculated total energy at -2.927 eV/atom. The density of states at the Fermi level is 0.23 states/eV/atom.

Unit cell a=5.673 b=5.673 c=15.567 alpha=100.50 beta=100.50 gamma=90.00
Fractional coordinates of all 12 atoms:
1 Cs 0.170 0.169 0.339
2 Cs 0.000 0.000 0.000
3 Cs 0.830 0.831 0.661
4 I 0.697 0.697 0.394
5 I 0.303 0.303 0.606
6 Tl 0.593 0.593 0.186
7 Tl 0.407 0.407 0.814
8 Cl 0.410 0.910 0.820
9 Cl 0.910 0.410 0.820
10 Cl 0.590 0.090 0.180
11 Cl 0.500 0.500 0.000
12 Cl 0.090 0.590 0.180

***

(3)
Pm8BiC2 | PBE-GGA | optimized geometry

Computed properties:
The value obtained for the calculated formation energy is 0.0163 eV/atom. The space group is No. 12. The density of states at the Fermi level is 0.85 states/eV/atom.

Unit cell a=5.083 b=8.009 c=8.009 alpha=114.19 beta=94.69 gamma=94.69
Fractional coordinates of all 11 atoms:
1 Pm 0.074 0.365 0.091
2 Pm 0.500 0.260 0.740
3 Pm 0.302 0.610 0.610
4 Pm 0.500 0.740 0.260
5 Pm 0.926 0.909 0.635
6 Pm 0.074 0.091 0.365
7 Pm 0.698 0.390 0.390
8 Pm 0.926 0.635 0.909
9 C 0.000 0.326 0.674
10 C 0.000 0.674 0.326
11 Bi 0.500 0.000 0.000